1.
# SrAg2P

SrAg2P after structural relaxation (GGA-PBE, Alexandria via LeMat-Bulk).

Output
Energy of formation in meV/atom: 46.8
Volume in Å³/cell: 92.7
Electronic total energy in eV for the cell shown: -12.61
Symmetry: P4/mmm, No. 123
DOS at the Fermi energy in states/eV/cell: 2.39

Geometry as POSCAR:
```
SrAg2P
1.0
3.9333 0.0000 0.0000
0.0000 3.9333 0.0000
0.0000 0.0000 5.9897
Sr Ag P
1 2 1
direct
0.0000 0.0000 0.0000 Sr
0.5000 0.5000 0.2713 Ag
0.5000 0.5000 0.7287 Ag
0.0000 0.0000 0.5000 P
```



2.
# SrAg3P

SrAg3P after structural relaxation (GGA-PBE, Alexandria via LeMat-Bulk).

Output
Polymorph energy (0 for the lowest one) in meV per atom: 1437
Energy of formation in meV/atom: 1421.3
Volume in Å³/cell: 171.2
Electronic total energy in eV for the cell shown: -8.54
Symmetry: Pm-3m, No. 221
DOS at the Fermi energy in states/eV/cell: 3.26

Geometry as POSCAR:
```
SrAg3P
1.0
5.5528 0.0000 0.0000
0.0000 5.5528 0.0000
0.0000 0.0000 5.5528
Sr Ag P
1 3 1
direct
0.0000 0.0000 0.0000 Sr
0.0000 0.0000 0.5000 Ag
0.0000 0.5000 0.0000 Ag
0.5000 0.0000 0.0000 Ag
0.5000 0.5000 0.5000 P
```



3.
# Sr2AgP

Sr2AgP after structural relaxation (GGA-PBE, Alexandria via LeMat-Bulk).

Output
Energy of formation in meV/atom: -423.1
Volume in Å³/cell: 280.9
Electronic total energy in eV for the cell shown: -26.63
Symmetry: I-42d, No. 122
DOS at the Fermi energy in states/eV/cell: 0.00

Geometry as POSCAR:
```
Sr2AgP
1.0
-4.0797 4.0797 4.2194
4.0797 -4.0797 4.2194
4.0797 4.0797 -4.2194
Sr Ag P
4 2 2
direct
0.0890 0.6250 0.9640 Sr
0.3750 0.3390 0.4640 Sr
0.6610 0.1250 0.0360 Sr
0.8750 0.9110 0.5360 Sr
0.2500 0.7500 0.5000 Ag
0.5000 0.5000 0.0000 Ag
0.0000 0.0000 0.0000 P
0.7500 0.2500 0.5000 P
```



4.
# Sr8Ag2P

Sr8Ag2P after structural relaxation (GGA-PBE, Alexandria via LeMat-Bulk).

Output
Energy of formation in meV/atom: -279.0
Volume in Å³/cell: 497.8
Electronic total energy in eV for the cell shown: -27.64
Symmetry: C2/m, No. 12
DOS at the Fermi energy in states/eV/cell: 10.24

Geometry as POSCAR:
```
Sr8Ag2P
1.0
7.3825 -4.0026 0.0000
7.3825 4.0026 0.0000
-0.0635 0.0000 8.4235
Sr Ag P
8 2 1
direct
0.1974 0.1974 0.6075 Sr
0.2053 0.7109 0.7508 Sr
0.2891 0.7947 0.2492 Sr
0.2993 0.2993 0.1047 Sr
0.7007 0.7007 0.8953 Sr
0.7109 0.2053 0.7508 Sr
0.7947 0.2891 0.2492 Sr
0.8026 0.8026 0.3925 Sr
0.0984 0.0984 0.9558 Ag
0.9016 0.9016 0.0442 Ag
0.0000 0.0000 0.5000 P
```



5.
# SrAgP

SrAgP after structural relaxation (GGA-PBE, Alexandria via LeMat-Bulk).

Output
Energy of formation in meV/atom: -713.3
Volume in Å³/cell: 72.0
Electronic total energy in eV for the cell shown: -12.08
Symmetry: P-6m2, No. 187
DOS at the Fermi energy in states/eV/cell: 0.33

Geometry as POSCAR:
```
SrAgP
1.0
4.3829 0.0000 0.0000
-2.1914 3.7957 0.0000
0.0000 0.0000 4.3286
Sr Ag P
1 1 1
direct
0.0000 0.0000 0.0000 Sr
0.6667 0.3333 0.5000 Ag
0.3333 0.6667 0.5000 P
```



6.
# SrAg2P

SrAg2P after structural relaxation (GGA-PBE, Alexandria via LeMat-Bulk).

Output
Energy of formation in meV/atom: -152.9
Volume in Å³/cell: 89.8
Electronic total energy in eV for the cell shown: -13.41
Symmetry: I4/mmm, No. 139
DOS at the Fermi energy in states/eV/cell: 1.49

Geometry as POSCAR:
```
SrAg2P
1.0
-2.1424 2.1424 4.8888
2.1424 -2.1424 4.8888
2.1424 2.1424 -4.8888
Sr Ag P
1 2 1
direct
0.0000 0.0000 0.0000 Sr
0.2500 0.7500 0.5000 Ag
0.7500 0.2500 0.5000 Ag
0.5000 0.5000 0.0000 P
```



7.
# SrAg2P

SrAg2P after structural relaxation (GGA-PBE, Alexandria via LeMat-Bulk).

Output
Energy of formation in meV/atom: -123.0
Volume in Å³/cell: 89.8
Electronic total energy in eV for the cell shown: -13.29
Symmetry: P4/mmm, No. 123
DOS at the Fermi energy in states/eV/cell: 2.22

Geometry as POSCAR:
```
SrAg2P
1.0
4.2815 0.0000 0.0000
0.0000 4.2815 0.0000
0.0000 0.0000 4.8961
Sr Ag P
1 2 1
direct
0.0000 0.0000 0.0000 Sr
0.0000 0.5000 0.5000 Ag
0.5000 0.0000 0.5000 Ag
0.5000 0.5000 0.0000 P
```



8.
# SrAg2P

SrAg2P after structural relaxation (GGA-PBE, Alexandria via LeMat-Bulk).

Output
Energy of formation in meV/atom: -260.4
Volume in Å³/cell: 95.6
Electronic total energy in eV for the cell shown: -13.84
Symmetry: Amm2, No. 38
DOS at the Fermi energy in states/eV/cell: 2.13

Geometry as POSCAR:
```
SrAg2P
1.0
4.1695 0.0000 0.0000
0.0000 2.0871 5.4903
0.0000 -2.0871 5.4903
Sr Ag P
1 2 1
direct
0.0000 0.0000 0.0000 Sr
0.0000 0.7212 0.7212 Ag
0.5000 0.2620 0.2620 Ag
0.5000 0.5902 0.5902 P
```



9.
# SrAgP

SrAgP after structural relaxation (GGA-PBE, Alexandria via LeMat-Bulk).

Output
Energy of formation in meV/atom: -751.0
Volume in Å³/cell: 142.5
Electronic total energy in eV for the cell shown: -24.39
Symmetry: P6_3/mmc, No. 194
DOS at the Fermi energy in states/eV/cell: 0.00

Geometry as POSCAR:
```
SrAgP
1.0
4.4356 0.0000 0.0000
-2.2178 3.8413 0.0000
0.0000 0.0000 8.3632
Sr Ag P
2 2 2
direct
0.0000 0.0000 0.0000 Sr
0.0000 0.0000 0.5000 Sr
0.3333 0.6667 0.2500 Ag
0.6667 0.3333 0.7500 Ag
0.3333 0.6667 0.7500 P
0.6667 0.3333 0.2500 P
```



10.
# SrAgP

SrAgP after structural relaxation (GGA-PBE, Alexandria via LeMat-Bulk).

Output
Energy of formation in meV/atom: 782.0
Volume in Å³/cell: 324.6
Electronic total energy in eV for the cell shown: -15.19
Symmetry: P6_3/mmc, No. 194
DOS at the Fermi energy in states/eV/cell: 0.52

Geometry as POSCAR:
```
SrAgP
1.0
5.5739 0.0000 0.0000
-2.7870 4.8272 0.0000
0.0000 0.0000 12.0636
Sr Ag P
2 2 2
direct
0.0000 0.0000 0.2500 Sr
0.0000 0.0000 0.7500 Sr
0.3333 0.6667 0.2500 Ag
0.6667 0.3333 0.7500 Ag
0.0000 0.0000 0.0000 P
0.0000 0.0000 0.5000 P
```



11.
# SrAg2P

SrAg2P after structural relaxation (GGA-PBE, Alexandria via LeMat-Bulk).

Output
Energy of formation in meV/atom: -265.2
Volume in Å³/cell: 92.9
Electronic total energy in eV for the cell shown: -13.85
Symmetry: Cm, No. 8
DOS at the Fermi energy in states/eV/cell: 3.11

Geometry as POSCAR:
```
SrAg2P
1.0
4.0087 -2.2657 0.0000
4.0087 2.2657 0.0000
-2.5913 0.0000 5.1167
Sr Ag P
1 2 1
direct
0.0000 0.0000 0.0000 Sr
0.2109 0.2109 0.6311 Ag
0.4726 0.4726 0.4242 Ag
0.7817 0.7817 0.3640 P
```



12.
# SrAg2P

SrAg2P after structural relaxation (GGA-PBE, Alexandria via LeMat-Bulk).

Output
Energy of formation in meV/atom: -88.3
Volume in Å³/cell: 89.3
Electronic total energy in eV for the cell shown: -13.15
Symmetry: Pmm2, No. 25
DOS at the Fermi energy in states/eV/cell: 1.26

Geometry as POSCAR:
```
SrAg2P
1.0
3.2863 0.0000 0.0000
0.0000 4.0594 0.0000
0.0000 0.0000 6.6911
Sr Ag P
1 2 1
direct
0.0000 0.0000 0.0000 Sr
0.0000 0.0000 0.5223 Ag
0.5000 0.5000 0.3466 Ag
0.5000 0.5000 0.7472 P
```